1.
Density functional theory data (GGA-PBE) for a geometry-optimized MoPd2IBr structure.

```
MoPd2IBr
1.0
4.858 0.000 0.000
0.000 4.858 0.000
0.000 0.000 5.224
Mo Pd I Br
1 2 1 1
Direct
0.000 0.000 0.000
0.000 0.500 0.500
0.500 0.000 0.500
0.500 0.500 0.000
0.000 0.000 0.500
```

Values from the calculation:
**M_tot**: 3.96 μB per cell
**ΔE_f (raw)**: 0.9186 eV/atom
**Fermi-level density of states**: 2.515 states/eV/cell

***

2.
Density functional theory data (GGA-PBE) for a geometry-optimized MoPdIBr2 structure.

```
MoPdIBr2
1.0
4.933 0.000 0.000
0.000 4.933 0.000
0.000 0.000 5.819
Mo Pd I Br
1 1 1 2
Direct
0.000 0.000 0.000
0.000 0.000 0.500
0.500 0.500 0.000
0.000 0.500 0.500
0.500 0.000 0.500
```

Values from the calculation:
**M_tot**: 3.97 μB per cell
**ΔE_f (raw)**: 0.6017 eV/atom
**Fermi-level density of states**: 2.315 states/eV/cell

***

3.
Density functional theory data (GGA-PBE) for a geometry-optimized Rb2MoI6Br structure.

```
Rb2MoI6Br
1.0
-4.514 4.514 5.755
4.514 -4.514 5.755
4.514 4.514 -5.755
Rb Mo I Br
2 1 6 1
Direct
0.250 0.750 0.500
0.750 0.250 0.500
0.000 0.000 0.000
0.217 0.217 0.433
0.217 0.783 0.000
0.245 0.245 0.000
0.755 0.755 0.000
0.783 0.217 0.000
0.783 0.783 0.567
0.500 0.500 0.000
```

Values from the calculation:
**M_tot**: 2.12 μB per cell
**ΔE_f (raw)**: -0.5720 eV/atom
**Fermi-level density of states**: 10.453 states/eV/cell

***

4.
Density functional theory data (GGA-PBE) for a geometry-optimized Rb2MoI2Br4 structure.

```
Rb2MoI2Br4
1.0
6.790 -3.885 0.000
6.790 3.885 0.000
-4.446 0.000 6.453
Rb Mo I Br
2 1 2 4
Direct
0.248 0.248 0.227
0.752 0.752 0.773
0.500 0.500 0.000
0.252 0.252 0.717
0.748 0.748 0.283
0.250 0.716 0.213
0.284 0.750 0.787
0.716 0.250 0.213
0.750 0.284 0.787
```

Values from the calculation:
**M_tot**: 2.00 μB per cell
**ΔE_f (raw)**: -0.9833 eV/atom
**Fermi-level density of states**: 7.551 states/eV/cell

***

5.
Density functional theory data (GGA-PBE) for a geometry-optimized Rb2MoI4Br2 structure.

```
Rb2MoI4Br2
1.0
6.593 -4.086 0.000
6.593 4.086 0.000
-1.212 0.000 6.773
Rb Mo I Br
2 1 4 2
Direct
0.167 0.167 0.254
0.833 0.833 0.746
0.500 0.500 0.000
0.171 0.653 0.205
0.347 0.829 0.795
0.653 0.171 0.205
0.829 0.347 0.795
0.340 0.340 0.731
0.660 0.660 0.269
```

Values from the calculation:
**M_tot**: 2.00 μB per cell
**ΔE_f (raw)**: -0.8441 eV/atom
**Fermi-level density of states**: 5.895 states/eV/cell

***

6.
Density functional theory data (GGA-PBE) for a geometry-optimized Rb2MoIBr6 structure.

```
Rb2MoIBr6
1.0
-4.220 4.220 6.009
4.220 -4.220 6.009
4.220 4.220 -6.009
Rb Mo I Br
2 1 1 6
Direct
0.250 0.750 0.500
0.750 0.250 0.500
0.000 0.000 0.000
0.500 0.500 0.000
0.212 0.212 0.000
0.214 0.214 0.427
0.214 0.786 0.000
0.786 0.214 0.000
0.786 0.786 0.573
0.788 0.788 0.000
```

Values from the calculation:
**M_tot**: 1.00 μB per cell
**ΔE_f (raw)**: -0.8159 eV/atom
**Fermi-level density of states**: 15.615 states/eV/cell